(1)
Here is a geometry-optimized NbSN structure from Alexandria via LeMat-Bulk. Energies are from PBE.

polymorph energy (0 for the lowest one)	539	meV/atom
formation energy from raw total energies	-238	meV per atom

a b c (Å): 2.9723 3.0556 4.7306
angles (deg): 90.00 90.00 90.00
Fractional coordinates of all 3 atoms:
Nb: 0.0000 0.0000 0.0000
S: 0.5000 0.0000 0.5000
N: 0.5000 0.5000 0.0000



(2)
Here is a geometry-optimized BaH6PdPt2 structure from Alexandria via LeMat-Bulk. Energies are from PBE.

a b c (Å): 6.8209 6.8209 5.3973
angles (deg): 101.37 101.37 85.93
Fractional coordinates of all 20 atoms:
Ba: 0.1882 0.8118 0.7500
Ba: 0.8118 0.1882 0.2500
H: 0.1154 0.6121 0.1639
H: 0.1642 0.1883 0.6307
H: 0.1883 0.1642 0.1307
H: 0.3432 0.4071 0.4480
H: 0.3879 0.8846 0.3361
H: 0.4071 0.3432 0.9480
H: 0.5929 0.6568 0.0520
H: 0.6121 0.1154 0.6639
H: 0.6568 0.5929 0.5520
H: 0.8117 0.8358 0.8693
H: 0.8358 0.8117 0.3693
H: 0.8846 0.3879 0.8361
Pd: 0.4713 0.5287 0.2500
Pd: 0.5287 0.4713 0.7500
Pt: 0.1371 0.3537 0.9006
Pt: 0.3537 0.1371 0.4006
Pt: 0.6463 0.8629 0.5994
Pt: 0.8629 0.6463 0.0994



What VASP energy values result from the calculations? In sequence: -23.24, -84.52 eV for the cell shown.